Density functional theory data (GGA-PBEsol) for an optimized crystal structure of MgSb2Os.

Structure (CIF):
```
data_MgSb2Os
_cell_length_a 3.144
_cell_length_b 4.570
_cell_length_c 12.524
_cell_angle_alpha 90.00
_cell_angle_beta 90.00
_cell_angle_gamma 90.00
_space_group_name_H-M_alt 'I m m m'
_space_group_IT_number 71
_space_group_name_Hall '-I 2 2'
loop_
_atom_site_label
_atom_site_fract_x
_atom_site_fract_y
_atom_site_fract_z
Mg1 0.000 0.000 0.000
Sb1 0.000 0.500 0.172
Os1 0.000 0.000 0.500
```


Density functional theory data (GGA-PBEsol) for an optimized crystal structure of MgSbOs3.

Structure (CIF):
```
data_MgSbOs3
_cell_length_a 4.780
_cell_length_b 4.780
_cell_length_c 4.780
_cell_angle_alpha 90.00
_cell_angle_beta 90.00
_cell_angle_gamma 90.00
_space_group_name_H-M_alt 'P m -3 m'
_space_group_IT_number 221
_space_group_name_Hall '-P 4 2 3'
loop_
_atom_site_label
_atom_site_fract_x
_atom_site_fract_y
_atom_site_fract_z
Mg1 0.000 0.000 0.000
Sb1 0.500 0.500 0.500
Os1 0.000 0.500 0.500
```


Density functional theory data (GGA-PBEsol) for an optimized crystal structure of MgSb2Os.

Structure (CIF):
```
data_MgSb2Os
_cell_length_a 3.187
_cell_length_b 3.187
_cell_length_c 8.182
_cell_angle_alpha 90.00
_cell_angle_beta 90.00
_cell_angle_gamma 90.00
_space_group_name_H-M_alt 'P 4 m m'
_space_group_IT_number 99
_space_group_name_Hall 'P 4 -2'
loop_
_atom_site_label
_atom_site_fract_x
_atom_site_fract_y
_atom_site_fract_z
Mg1 0.000 0.000 0.000
Sb1 0.000 0.000 0.380
Sb2 0.500 0.500 0.738
Os1 0.500 0.500 0.197
```


Density functional theory data (GGA-PBEsol) for an optimized crystal structure of MgSb2Os.

Structure (CIF):
```
data_MgSb2Os
_cell_length_a 3.268
_cell_length_b 5.108
_cell_length_c 10.181
_cell_angle_alpha 90.00
_cell_angle_beta 90.00
_cell_angle_gamma 90.00
_space_group_name_H-M_alt 'C m m 2'
_space_group_IT_number 35
_space_group_name_Hall 'C 2 -2'
loop_
_atom_site_label
_atom_site_fract_x
_atom_site_fract_y
_atom_site_fract_z
Mg1 0.000 0.000 0.000
Sb1 0.000 0.000 0.588
Sb2 0.000 0.500 0.256
Os1 0.000 0.500 0.794
```


Density functional theory data (GGA-PBEsol) for an optimized crystal structure of MgScOs.

Structure (CIF):
```
data_MgScOs
_cell_length_a 6.243
_cell_length_b 6.243
_cell_length_c 6.243
_cell_angle_alpha 90.00
_cell_angle_beta 90.00
_cell_angle_gamma 90.00
_space_group_name_H-M_alt 'F -4 3 m'
_space_group_IT_number 216
_space_group_name_Hall 'F -4 2 3'
loop_
_atom_site_label
_atom_site_fract_x
_atom_site_fract_y
_atom_site_fract_z
Mg1 0.000 0.000 0.000
Sc1 0.250 0.250 0.750
Os1 0.000 0.000 0.500
```

Output
- ΔH_f (0 K): 776 meV/atom


Density functional theory data (GGA-PBEsol) for an optimized crystal structure of Mg2ScOs.

Structure (CIF):
```
data_Mg2ScOs
_cell_length_a 6.504
_cell_length_b 6.504
_cell_length_c 6.504
_cell_angle_alpha 90.00
_cell_angle_beta 90.00
_cell_angle_gamma 90.00
_space_group_name_H-M_alt 'F m -3 m'
_space_group_IT_number 225
_space_group_name_Hall '-F 4 2 3'
loop_
_atom_site_label
_atom_site_fract_x
_atom_site_fract_y
_atom_site_fract_z
Mg1 0.250 0.250 0.250
Sc1 0.000 0.000 0.000
Os1 0.000 0.000 0.500
```

Output
- ΔH_f (0 K): 146 meV/atom


Density functional theory data (GGA-PBEsol) for an optimized crystal structure of MgOsSe3.

Structure (CIF):
```
data_MgOsSe3
_cell_length_a 4.719
_cell_length_b 4.719
_cell_length_c 4.719
_cell_angle_alpha 90.00
_cell_angle_beta 90.00
_cell_angle_gamma 90.00
_space_group_name_H-M_alt 'P m -3 m'
_space_group_IT_number 221
_space_group_name_Hall '-P 4 2 3'
loop_
_atom_site_label
_atom_site_fract_x
_atom_site_fract_y
_atom_site_fract_z
Mg1 0.000 0.000 0.000
Os1 0.500 0.500 0.500
Se1 0.000 0.000 0.500
```


Density functional theory data (GGA-PBEsol) for an optimized crystal structure of Mg2OsSe.

Structure (CIF):
```
data_Mg2OsSe
_cell_length_a 4.115
_cell_length_b 3.303
_cell_length_c 10.157
_cell_angle_alpha 90.00
_cell_angle_beta 90.00
_cell_angle_gamma 90.00
_space_group_name_H-M_alt 'A m m 2'
_space_group_IT_number 38
_space_group_name_Hall 'A 2 -2'
loop_
_atom_site_label
_atom_site_fract_x
_atom_site_fract_y
_atom_site_fract_z
Mg1 0.000 0.000 0.000
Mg2 0.500 0.000 0.323
Os1 0.000 0.000 0.728
Se1 0.500 0.000 0.596
```


| no. | electronic total energy (eV/atom) |
| --- | --- |
| 1 | -5.659 |
| 2 | -6.387 |
| 3 | -5.682 |
| 4 | -5.375 |
| 5 | -6.070 |
| 6 | -5.418 |
| 7 | -3.824 |
| 8 | -4.915 |